ZrSc2Al2 | SCAN | PBEsol geometry

The space group is P4/mbm (No. 127) and the conventional cell measures 7.780, 7.780 and 3.327 Å, with angles of 90.00, 90.00 and 90.00 degrees. The distinct sites, in fractional coordinates, are Zr at (0.000, 0.000, 0.000), Sc at (0.177, 0.323, 0.500) and Al at (0.121, 0.621, 0.000).

The crystal system is tetragonal. As for the formation energy: -0.336 eV per atom. The calculation puts the total magnetic moment at 0.23 Bohr magnetons per cell. The calculation puts the total energy at -15.271 eV/atom.